Entry 1:
DFT (PBE-GGA) results for crystalline Cu3Ag5 at its relaxed geometry.

Energy above the lowest structure with this stoichiometry = 48 meV/atom
Symmetry = R3m, No. 160
E_tot = -24.59 eV/cell
Calculated formation energy = 66 kJ/mol of formula units

Unit cell a=18.304 b=18.304 c=18.304 alpha=8.87 beta=8.87 gamma=8.87
Fractional coordinates of all 8 atoms:
Ag1 0.125 0.125 0.125
Ag2 0.251 0.251 0.251
Ag3 0.630 0.630 0.630
Ag4 0.746 0.746 0.746
Ag5 0.873 0.873 0.873
Cu1 0.004 0.004 0.004
Cu2 0.372 0.372 0.372
Cu3 0.499 0.499 0.499

=====

Entry 2:
DFT (PBE-GGA) results for crystalline Cu3Ag2 at its relaxed geometry.

Energy above the lowest structure with this stoichiometry = 33 meV/atom
Symmetry = P4/nmm, No. 129
E_tot = -32.85 eV/cell
Calculated formation energy = 36 kJ/mol of formula units

Unit cell a=2.827 b=2.827 c=17.848 alpha=90.00 beta=90.00 gamma=90.00
Fractional coordinates of all 10 atoms:
Ag1 0.000 0.500 0.061
Ag2 0.500 0.000 0.353
Ag3 0.000 0.500 0.647
Ag4 0.500 0.000 0.939
Cu1 0.500 0.000 0.164
Cu2 0.000 0.500 0.248
Cu3 0.000 0.500 0.458
Cu4 0.500 0.000 0.542
Cu5 0.500 0.000 0.752
Cu6 0.000 0.500 0.836

=====

Entry 3:
DFT (PBE-GGA) results for crystalline CuAg2 at its relaxed geometry.

Energy above the lowest structure with this stoichiometry = 60 meV/atom
Symmetry = Imm2, No. 44
E_tot = -27.28 eV/cell
Calculated formation energy = 26 kJ/mol of formula units

Unit cell a=7.448 b=7.448 c=7.448 alpha=157.82 beta=73.85 gamma=110.62
Fractional coordinates of all 9 atoms:
Ag1 0.348 0.348 0.000
Ag2 0.998 0.998 0.000
Ag3 0.995 0.665 0.330
Ag4 0.662 0.327 0.335
Ag5 0.992 0.327 0.665
Ag6 0.335 0.665 0.670
Cu1 0.659 0.659 0.000
Cu2 0.344 0.005 0.338
Cu3 0.667 0.005 0.662

=====

Entry 4:
DFT (PBE-GGA) results for crystalline Cu5Ag3 at its relaxed geometry.

Energy above the lowest structure with this stoichiometry = 50 meV/atom
Symmetry = P4/mmm, No. 123
E_tot = -26.28 eV/cell
Calculated formation energy = 75 kJ/mol of formula units

Unit cell a=3.893 b=3.893 c=7.481 alpha=90.00 beta=90.00 gamma=90.00
Fractional coordinates of all 8 atoms:
Ag1 0.000 0.000 0.000
Ag2 0.500 0.500 0.000
Ag3 0.000 0.000 0.500
Cu1 0.500 0.000 0.260
Cu2 0.000 0.500 0.260
Cu3 0.500 0.500 0.500
Cu4 0.500 0.000 0.740
Cu5 0.000 0.500 0.740

=====

Entry 5:
DFT (PBE-GGA) results for crystalline CuAg at its relaxed geometry.

Symmetry = Pmmn, No. 59
E_tot = -25.53 eV/cell
Calculated formation energy = 15 kJ/mol of formula units

Unit cell a=2.782 b=3.754 c=11.332 alpha=90.00 beta=90.00 gamma=90.00
Fractional coordinates of all 8 atoms:
Ag1 0.000 0.000 0.072
Ag2 0.500 0.500 0.215
Ag3 0.000 0.000 0.785
Ag4 0.500 0.500 0.928
Cu1 0.000 0.000 0.337
Cu2 0.500 0.500 0.447
Cu3 0.000 0.000 0.553
Cu4 0.500 0.500 0.663

=====

Entry 6:
DFT (PBE-GGA) results for crystalline Cu4Ag5 at its relaxed geometry.

Energy above the lowest structure with this stoichiometry = 63 meV/atom
Symmetry = P3m1, No. 156
E_tot = -28.08 eV/cell
Calculated formation energy = 87 kJ/mol of formula units

Unit cell a=2.820 b=2.820 c=20.109 alpha=90.00 beta=90.00 gamma=120.00
Fractional coordinates of all 9 atoms:
Ag1 0.667 0.333 0.096
Ag2 0.333 0.667 0.220
Ag3 0.000 0.000 0.343
Ag4 0.333 0.667 0.561
Ag5 0.667 0.333 0.780
Cu1 0.667 0.333 0.452
Cu2 0.000 0.000 0.671
Cu3 0.333 0.667 0.891
Cu4 0.000 0.000 0.986

=====

Entry 7:
DFT (PBE-GGA) results for crystalline Cu4Ag5 at its relaxed geometry.

Energy above the lowest structure with this stoichiometry = 54 meV/atom
Symmetry = C2/m, No. 12
E_tot = -28.16 eV/cell
Calculated formation energy = 80 kJ/mol of formula units

Unit cell a=4.854 b=4.854 c=8.402 alpha=106.49 beta=106.49 gamma=47.08
Fractional coordinates of all 9 atoms:
Ag1 0.990 0.990 0.159
Ag2 0.668 0.668 0.378
Ag3 0.000 0.000 0.500
Ag4 0.332 0.332 0.622
Ag5 0.010 0.010 0.841
Cu1 0.671 0.671 0.050
Cu2 0.321 0.321 0.257
Cu3 0.679 0.679 0.743
Cu4 0.329 0.329 0.950

=====

Entry 8:
DFT (PBE-GGA) results for crystalline Cu2Ag7 at its relaxed geometry.

Energy above the lowest structure with this stoichiometry = 37 meV/atom
Symmetry = C2/m, No. 12
E_tot = -26.63 eV/cell
Calculated formation energy = 55 kJ/mol of formula units

Unit cell a=4.978 b=4.978 c=8.598 alpha=106.93 beta=106.93 gamma=47.74
Fractional coordinates of all 9 atoms:
Ag1 0.000 0.000 0.000
Ag2 0.339 0.339 0.118
Ag3 0.668 0.668 0.227
Ag4 0.338 0.338 0.447
Ag5 0.662 0.662 0.553
Ag6 0.332 0.332 0.773
Ag7 0.661 0.661 0.882
Cu1 0.002 0.002 0.341
Cu2 0.998 0.998 0.659

=====

Entry 9:
DFT (PBE-GGA) results for crystalline Cu3Ag2 at its relaxed geometry.

Energy above the lowest structure with this stoichiometry = 55 meV/atom
Symmetry = R-3m, No. 166
E_tot = -16.32 eV/cell
Calculated formation energy = 47 kJ/mol of formula units

Unit cell a=11.085 b=11.085 c=11.085 alpha=14.35 beta=14.35 gamma=14.35
Fractional coordinates of all 5 atoms:
Ag1 0.205 0.205 0.205
Ag2 0.795 0.795 0.795
Cu1 0.000 0.000 0.000
Cu2 0.393 0.393 0.393
Cu3 0.607 0.607 0.607

=====

Entry 10:
DFT (PBE-GGA) results for crystalline CuAg at its relaxed geometry.

Symmetry = P1, No. 1
E_tot = -51.58 eV/cell
Calculated formation energy = 9 kJ/mol of formula units

Unit cell a=2.877 b=3.327 c=24.872 alpha=90.00 beta=90.01 gamma=90.00
Fractional coordinates of all 16 atoms:
Ag1 0.506 0.503 0.035
Ag2 0.009 0.002 0.108
Ag3 0.513 0.501 0.181
Ag4 0.015 0.000 0.254
Ag5 0.517 0.499 0.328
Ag6 0.017 0.999 0.401
Ag7 0.516 0.499 0.475
Ag8 0.002 0.003 0.960
Cu1 0.014 0.000 0.538
Cu2 0.511 0.500 0.588
Cu3 0.007 0.001 0.640
Cu4 0.504 0.502 0.692
Cu5 0.002 0.003 0.744
Cu6 0.500 0.503 0.795
Cu7 0.000 0.004 0.847
Cu8 0.500 0.504 0.898

=====

Entry 11:
DFT (PBE-GGA) results for crystalline Cu3Ag2 at its relaxed geometry.

Energy above the lowest structure with this stoichiometry = 47 meV/atom
Symmetry = C2/m, No. 12
E_tot = -32.71 eV/cell
Calculated formation energy = 43 kJ/mol of formula units

Unit cell a=4.762 b=4.762 c=11.345 alpha=98.34 beta=98.34 gamma=34.27
Fractional coordinates of all 10 atoms:
Ag1 0.500 0.500 0.000
Ag2 0.791 0.791 0.117
Ag3 0.000 0.000 0.500
Ag4 0.209 0.209 0.883
Cu1 0.089 0.089 0.224
Cu2 0.394 0.394 0.309
Cu3 0.705 0.705 0.401
Cu4 0.295 0.295 0.599
Cu5 0.606 0.606 0.691
Cu6 0.911 0.911 0.776

=====

Entry 12:
DFT (PBE-GGA) results for crystalline Cu4Ag5 at its relaxed geometry.

Energy above the lowest structure with this stoichiometry = 53 meV/atom
Symmetry = Immm, No. 71
E_tot = -28.17 eV/cell
Calculated formation energy = 79 kJ/mol of formula units

Unit cell a=13.280 b=13.280 c=13.280 alpha=167.68 beta=164.02 gamma=20.23
Fractional coordinates of all 9 atoms:
Ag1 0.000 0.000 0.000
Ag2 0.109 0.109 0.000
Ag3 0.328 0.328 0.000
Ag4 0.672 0.672 0.000
Ag5 0.891 0.891 0.000
Cu1 0.226 0.226 0.000
Cu2 0.446 0.446 0.000
Cu3 0.554 0.554 0.000
Cu4 0.774 0.774 0.000